No. 1
{"formula": "CeNb2N4", "functional": "PBE-GGA", "state": "optimized geometry", "cell": [[-0.331, 2.915, 1.265], [-0.414, -3.548, 4.032], [10.334, 0.517, 1.516]], "species": ["Ce", "Ce", "Nb", "Nb", "Nb", "Nb", "N", "N", "N", "N", "N", "N", "N", "N"], "frac_coords": [[0.616, 0.232, 0.750], [0.384, 0.768, 0.250], [0.127, 0.255, 0.436], [0.873, 0.745, 0.936], [0.127, 0.255, 0.064], [0.873, 0.745, 0.564], [0.767, 0.533, 0.114], [0.767, 0.533, 0.386], [0.233, 0.467, 0.886], [0.233, 0.467, 0.614], [0.937, 0.874, 0.750], [0.063, 0.126, 0.250], [0.500, 0.000, 0.000], [0.500, 0.000, 0.500]], "final_energy_ev_per_atom": -9.649, "spacegroup": "No. 63", "dos_at_fermi_per_ev_atom": 0.6072}

=====

No. 2
{"formula": "Ce3NbN4", "functional": "PBE-GGA", "state": "optimized geometry", "cell": [[-1.727, 0.844, 2.843], [-3.017, -1.487, 0.681], [3.763, -8.454, 6.866]], "species": ["Nb", "Ce", "Ce", "Ce", "N", "N", "N", "N"], "frac_coords": [[0.000, 0.000, 0.000], [0.745, 0.745, 0.766], [0.500, 0.500, 0.500], [0.255, 0.255, 0.234], [0.632, 0.632, 0.103], [0.878, 0.878, 0.366], [0.368, 0.368, 0.897], [0.122, 0.122, 0.634]], "final_energy_ev_per_atom": -9.020, "spacegroup": "No. 166", "dos_at_fermi_per_ev_atom": 0.8962}

=====

No. 3
{"formula": "Ce2NbN3", "functional": "PBE-GGA", "state": "optimized geometry", "cell": [[4.827, 0.000, 0.000], [0.000, 6.784, 0.001], [-2.413, -1.696, 5.136]], "species": ["Ce", "Ce", "Ce", "Ce", "Nb", "Nb", "N", "N", "N", "N", "N", "N"], "frac_coords": [[0.667, 0.583, 0.333], [0.667, 0.083, 0.333], [0.333, 0.917, 0.667], [0.333, 0.417, 0.667], [0.000, 0.750, 0.000], [0.000, 0.250, 0.000], [0.500, 0.250, 0.000], [0.500, 0.750, 0.000], [0.149, 0.075, 0.299], [0.850, 0.425, 0.701], [0.150, 0.575, 0.299], [0.851, 0.925, 0.701]], "final_energy_ev_per_atom": -9.153, "spacegroup": "No. 71", "dos_at_fermi_per_ev_atom": 0.8079}

=====

No. 4
{"formula": "CeNb4N6", "functional": "PBE-GGA", "state": "optimized geometry", "cell": [[-0.856, 2.641, -1.557], [-2.754, -4.115, -2.213], [-11.613, 2.269, 10.230]], "species": ["Ce", "Ce", "Nb", "Nb", "Nb", "Nb", "Nb", "Nb", "Nb", "Nb", "N", "N", "N", "N", "N", "N", "N", "N", "N", "N", "N", "N"], "frac_coords": [[0.660, 0.320, 0.250], [0.340, 0.680, 0.750], [0.853, 0.705, 0.542], [0.401, 0.801, 0.128], [0.147, 0.295, 0.458], [0.599, 0.199, 0.872], [0.853, 0.705, 0.958], [0.147, 0.295, 0.042], [0.599, 0.199, 0.628], [0.401, 0.801, 0.372], [0.500, 0.000, 0.000], [0.500, 0.000, 0.500], [0.036, 0.072, 0.341], [0.964, 0.928, 0.659], [0.964, 0.928, 0.841], [0.036, 0.072, 0.159], [0.763, 0.526, 0.405], [0.237, 0.474, 0.595], [0.237, 0.474, 0.905], [0.763, 0.526, 0.095], [0.332, 0.665, 0.250], [0.668, 0.335, 0.750]], "final_energy_ev_per_atom": -9.858, "spacegroup": "No. 63", "dos_at_fermi_per_ev_atom": 0.3704}

=====

No. 5
{"formula": "Ce6NbN8", "functional": "PBE-GGA", "state": "optimized geometry", "cell": [[-3.739, -5.406, -2.353], [3.200, -5.939, -1.798], [-0.754, -5.706, 3.951]], "species": ["Ce", "Ce", "Ce", "Ce", "Ce", "Ce", "Nb", "N", "N", "N", "N", "N", "N", "N", "N"], "frac_coords": [[0.000, 0.500, 0.500], [0.500, 0.000, 0.000], [0.500, 0.500, 0.000], [0.000, 0.000, 0.500], [0.000, 0.500, 0.000], [0.500, 0.000, 0.500], [0.000, 0.000, 0.000], [0.750, 0.750, 0.750], [0.250, 0.250, 0.250], [0.780, 0.220, 0.220], [0.220, 0.780, 0.780], [0.220, 0.220, 0.780], [0.780, 0.780, 0.220], [0.780, 0.220, 0.780], [0.220, 0.780, 0.220]], "final_energy_ev_per_atom": -8.826, "spacegroup": "No. 225", "dos_at_fermi_per_ev_atom": 1.1485}

=====

No. 6
{"formula": "Ce2Nb2N5", "functional": "PBE-GGA", "state": "optimized geometry", "cell": [[3.285, 0.000, 0.999], [0.811, 6.592, 3.232], [-0.038, 0.746, 6.025]], "species": ["Ce", "Ce", "Nb", "Nb", "N", "N", "N", "N", "N"], "frac_coords": [[0.327, 0.211, 0.135], [0.673, 0.789, 0.865], [0.059, 0.269, 0.613], [0.941, 0.731, 0.387], [0.338, 0.832, 0.491], [0.662, 0.168, 0.509], [0.122, 0.549, 0.207], [0.878, 0.451, 0.793], [0.000, 0.000, 0.000]], "final_energy_ev_per_atom": -9.333, "spacegroup": "No. 12", "dos_at_fermi_per_ev_atom": 0.8066}

=====

No. 7
{"formula": "Ce2Nb2N5", "functional": "PBE-GGA", "state": "optimized geometry", "cell": [[-3.781, -1.835, 0.682], [2.090, -1.420, -5.524], [2.267, -3.179, 4.014]], "species": ["Ce", "Ce", "Nb", "Nb", "N", "N", "N", "N", "N"], "frac_coords": [[0.393, 0.786, 0.662], [0.607, 0.214, 0.338], [0.155, 0.311, 0.884], [0.845, 0.689, 0.116], [0.356, 0.712, 0.122], [0.644, 0.288, 0.878], [0.172, 0.344, 0.549], [0.828, 0.656, 0.451], [0.000, 0.000, 0.000]], "final_energy_ev_per_atom": -9.384, "spacegroup": "No. 12", "dos_at_fermi_per_ev_atom": 0.8646}

=====

No. 8
{"formula": "Ce2NbN4", "functional": "PBE-GGA", "state": "optimized geometry", "cell": [[-0.162, 4.618, -3.876], [-4.505, 2.552, 3.228], [4.358, 1.379, 4.992]], "species": ["Ce", "Ce", "Ce", "Ce", "Nb", "Nb", "N", "N", "N", "N", "N", "N", "N", "N"], "frac_coords": [[0.659, 0.750, 0.013], [0.341, 0.250, 0.987], [0.243, 0.250, 0.451], [0.757, 0.750, 0.549], [0.213, 0.750, 0.187], [0.787, 0.250, 0.813], [0.452, 0.512, 0.250], [0.007, 0.750, 0.900], [0.993, 0.250, 0.100], [0.452, 0.988, 0.250], [0.010, 0.250, 0.661], [0.548, 0.012, 0.750], [0.548, 0.488, 0.750], [0.990, 0.750, 0.339]], "final_energy_ev_per_atom": -8.966, "spacegroup": "No. 11", "dos_at_fermi_per_ev_atom": 1.2380}

=====

Results for calculated density: 7.38 8.16 8.20 7.66 7.22 7.21 7.18 6.07 (in g cm⁻³, following the order of the records).
Results for energy relative to the elements, uncorrected: -1.167 -1.373 -1.334 -1.116 -1.341 -1.152 -1.202 -1.075 (in eV per atom, following the order of the records).